w) Below is crystalline TbDy4Th2 at its relaxed geometry, with properties calculated at the PBE level.

The space group is I4/mmm (No. 139) and the conventional cell measures 5.5499, 5.5499 and 16.7131 Å, with angles of 90.00, 90.00 and 90.00 degrees. The asymmetric unit holds Tb at (0.0000, 0.0000, 0.0000), Dy at (0.0000, 0.0000, 0.1812), Dy at (0.0000, 0.5000, 0.0000) and Th at (0.0000, 0.0000, 0.3869).

The calculation puts the size of the total moment at 0.0074 μB/atom. For the volume, the calculation gives 36.8 Å³/atom.



x) Below is crystalline TbDy4Th2 at its relaxed geometry, with properties calculated at the PBE level.

The space group is P-1 (No. 2) and the conventional cell measures 3.4826, 8.4804 and 8.7192 Å, with angles of 117.28, 90.08 and 98.42 degrees. The asymmetric unit holds Tb at (0.0000, 0.0000, 0.0000), Dy at (0.0451, 0.5512, 0.7170), Dy at (0.3562, 0.1463, 0.4228) and Th at (0.4135, 0.2813, 0.8673).

The calculation puts the size of the total moment at 0.0000 μB/atom. For the volume, the calculation gives 32.2 Å³/atom.



Energies relative to the most stable structure are w) 0.690; x) 0.000, reported in eV/atom.



w) Below is crystalline Tb2DyTh4 at its relaxed geometry, with properties calculated at the PBE level.

The space group is I4/mmm (No. 139) and the conventional cell measures 5.6816, 5.6816 and 16.3372 Å, with angles of 90.00, 90.00 and 90.00 degrees. The asymmetric unit holds Tb at (0.0000, 0.0000, 0.1144), Dy at (0.0000, 0.0000, 0.5000), Th at (0.0000, 0.0000, 0.3130) and Th at (0.0000, 0.5000, 0.0000).

The calculation puts the size of the total moment at 0.0001 μB/atom. For the volume, the calculation gives 37.7 Å³/atom.



x) Below is crystalline Tb2DyTh4 at its relaxed geometry, with properties calculated at the PBE level.

The space group is Cmmm (No. 65) and the conventional cell measures 3.5692, 36.0348 and 3.5580 Å, with angles of 90.00, 90.00 and 90.00 degrees. The asymmetric unit holds Tb at (0.0000, 0.2075, 0.0000), Dy at (0.0000, 0.5000, 0.5000), Th at (0.0000, 0.0714, 0.0000) and Th at (0.0000, 0.3604, 0.5000).

The calculation puts the size of the total moment at 0.0000 μB/atom. For the volume, the calculation gives 32.7 Å³/atom.



Energies relative to the most stable structure are w) 0.883; x) 0.000, reported in eV/atom.



w) Below is crystalline Tb3Dy4Th at its relaxed geometry, with properties calculated at the PBE level.

The space group is Pmn2_1 (No. 31) and the conventional cell measures 11.3978, 7.2328 and 6.2502 Å, with angles of 90.00, 90.00 and 90.00 degrees. The asymmetric unit holds Tb at (0.0000, 0.1219, 0.0000), Tb at (0.2491, 0.1222, 0.3291), Dy at (0.0000, 0.3744, 0.4992), Dy at (0.0000, 0.6292, 0.0006), Dy at (0.2490, 0.6266, 0.3405) and Th at (0.0000, 0.8761, 0.5024).

The calculation puts the size of the total moment at 0.0000 μB/atom. For the volume, the calculation gives 32.2 Å³/atom.



x) Below is crystalline Tb3Dy4Th at its relaxed geometry, with properties calculated at the PBE level.

The space group is C2/m (No. 12) and the conventional cell measures 23.2642, 3.4512 and 6.7421 Å, with angles of 90.00, 106.83 and 90.00 degrees. The asymmetric unit holds Tb at (0.0000, 0.0000, 0.0000), Tb at (0.1238, 0.0000, 0.8638), Dy at (0.1241, 0.0000, 0.3848), Dy at (0.2414, 0.5000, 0.7413) and Th at (0.0000, 0.5000, 0.5000).

The calculation puts the size of the total moment at 0.0000 μB/atom. For the volume, the calculation gives 32.4 Å³/atom.



Energies relative to the most stable structure are w) 0.000; x) 0.141, reported in eV/atom.



w) Below is crystalline Tb12Dy5Th2 at its relaxed geometry, with properties calculated at the PBE level.

The space group is P-1 (No. 2) and the conventional cell measures 6.1750, 9.4038 and 11.2618 Å, with angles of 89.97, 79.42 and 70.92 degrees. The asymmetric unit holds Tb at (0.0532, 0.1317, 0.3933), Tb at (0.1059, 0.7636, 0.2900), Tb at (0.1576, 0.3923, 0.1849), Tb at (0.3181, 0.2861, 0.8701), Tb at (0.3666, 0.9221, 0.7667), Tb at (0.4211, 0.5517, 0.6567), Dy at (0.0000, 0.5000, 0.5000), Dy at (0.2593, 0.6623, 0.9744), Dy at (0.4736, 0.1849, 0.5518) and Th at (0.2118, 0.0250, 0.0766).

The calculation puts the size of the total moment at 0.0000 μB/atom. For the volume, the calculation gives 31.9 Å³/atom.



x) Below is crystalline Tb12Dy5Th2 at its relaxed geometry, with properties calculated at the PBE level.

The space group is C2/m (No. 12) and the conventional cell measures 15.5641, 9.3573 and 8.5956 Å, with angles of 90.00, 92.13 and 90.00 degrees. The asymmetric unit holds Tb at (0.0586, 0.0000, 0.3317), Tb at (0.0772, 0.5000, 0.8776), Tb at (0.1293, 0.1926, 0.6689), Tb at (0.1499, 0.3214, 0.2407), Dy at (0.0000, 0.5000, 0.5000), Dy at (0.2016, 0.0000, 0.0251), Dy at (0.2316, 0.5000, 0.5717) and Th at (0.0000, 0.1725, 0.0000).

The calculation puts the size of the total moment at 0.0000 μB/atom. For the volume, the calculation gives 32.9 Å³/atom.



Energies relative to the most stable structure are w) 0.000; x) 0.127, reported in eV/atom.



w) Below is crystalline Tb5Dy4Th at its relaxed geometry, with properties calculated at the PBE level.

The space group is C2/m (No. 12) and the conventional cell measures 17.7471, 3.5564 and 10.9844 Å, with angles of 90.00, 102.48 and 90.00 degrees. The asymmetric unit holds Tb at (0.0000, 0.0000, 0.0000), Tb at (0.1591, 0.5000, 0.4217), Tb at (0.1690, 0.5000, 0.0194), Dy at (0.0243, 0.5000, 0.7592), Dy at (0.1784, 0.0000, 0.7190) and Th at (0.0000, 0.0000, 0.5000).

The calculation puts the size of the total moment at 0.0000 μB/atom. For the volume, the calculation gives 33.8 Å³/atom.



x) Below is crystalline Tb5Dy4Th at its relaxed geometry, with properties calculated at the PBE level.

The space group is I4 (No. 79) and the conventional cell measures 10.1712, 10.1712 and 6.3545 Å, with angles of 90.00, 90.00 and 90.00 degrees. The asymmetric unit holds Tb at (0.0000, 0.0000, 0.0000), Tb at (0.1457, 0.2317, 0.7388), Dy at (0.0480, 0.3449, 0.2412) and Th at (0.0000, 0.0000, 0.4644).

The calculation puts the size of the total moment at 0.0000 μB/atom. For the volume, the calculation gives 32.9 Å³/atom.



Energies relative to the most stable structure are w) 0.000; x) 0.105, reported in eV/atom.



w) Below is crystalline Tb3Dy3Th2 at its relaxed geometry, with properties calculated at the PBE level.

The space group is Immm (No. 71) and the conventional cell measures 5.0340, 5.0341 and 20.2067 Å, with angles of 90.00, 90.00 and 90.00 degrees. The asymmetric unit holds Tb at (0.0000, 0.0000, 0.0000), Tb at (0.0000, 0.5000, 0.3726), Dy at (0.0000, 0.0000, 0.5000), Dy at (0.0000, 0.5000, 0.1272) and Th at (0.0000, 0.0000, 0.2499).

The calculation puts the size of the total moment at 0.0000 μB/atom. For the volume, the calculation gives 32.0 Å³/atom.



x) Below is crystalline Tb3Dy3Th2 at its relaxed geometry, with properties calculated at the PBE level.

The space group is C2/m (No. 12) and the conventional cell measures 7.1474, 14.2527 and 6.1547 Å, with angles of 90.00, 125.49 and 90.00 degrees. The asymmetric unit holds Tb at (0.0000, 0.0000, 0.0000), Tb at (0.0000, 0.3718, 0.5000), Dy at (0.0000, 0.1277, 0.5000), Dy at (0.0000, 0.5000, 0.0000) and Th at (0.0000, 0.2503, 0.0000).

The calculation puts the size of the total moment at 0.0000 μB/atom. For the volume, the calculation gives 31.9 Å³/atom.



Energies relative to the most stable structure are w) 0.000; x) 0.011, reported in eV/atom.